(1)
DFT (GGA-PBE) results for an optimized crystal structure of PrAg2Hg2.

Properties
For the energy of formation from the pure elements, the calculation gives -172 meV/atom. For the energy above the most stable polymorph in this dataset, the calculation gives 59 meV per atom.

Lattice parameters (Å, degrees): 5.9525 5.9334 7.4638 90.00 113.32 90.00
Closest atoms and distances in Å follow each position.
Space group C2/m (No. 12)
Asymmetric unit:
Pr: 0.0000 0.0000 0.0000 x2  8 Hg 3.30-3.34
Ag: 0.0000 0.2505 0.5000 x4  4 Hg 2.87, 4 Ag 2.96-2.98
Hg: 0.1097 0.5000 0.2145 x4  4 Ag 2.87, 1 Hg 2.94

(2)
DFT (GGA-PBE) results for an optimized crystal structure of LaCuAsRu2.

Properties
For the energy of formation from the pure elements, the calculation gives 582 meV/atom.

Lattice parameters (Å, degrees): 4.5666 4.5666 5.5312 90.00 90.00 90.00
Closest atoms and distances in Å follow each position.
Space group P4/mmm (No. 123)
Asymmetric unit:
La: 0.0000 0.0000 0.0000 x1  2 As 2.77
Cu: 0.5000 0.5000 0.0000 x1  4 La 3.23, 8 Ru 3.59
As: 0.0000 0.0000 0.5000 x1  4 Ru 2.28
Ru: 0.0000 0.5000 0.5000 x2  2 As 2.28

(3)
DFT (GGA-PBE) results for an optimized crystal structure of Li2AlSi.

Properties
As for the uncorrected formation energy: -0.14 eV/atom.

Lattice parameters (Å, degrees): 5.2826 8.4520 2.7162 90.00 90.00 90.00
Closest atoms and distances in Å follow each position.
Space group Cmmm (No. 65)
Asymmetric unit:
Li: 0.2500 0.2500 0.0000 x4  4 Li 2.64-2.72, 4 Al 2.84, 4 Si 2.84
Al: 0.0000 0.0000 0.5000 x2  2 Si 2.64, 2 Al 2.72, 8 Li 2.84
Si: 0.0000 0.5000 0.5000 x2  2 Al 2.64, 2 Si 2.72, 8 Li 2.84

(4)
DFT (GGA-PBE) results for an optimized crystal structure of SrInAs2.

Properties
For the energy of formation from the pure elements, the calculation gives -430 meV/atom.

Lattice parameters (Å, degrees): 4.1547 4.1547 21.8542 90.00 90.00 120.00
Closest atoms and distances in Å follow each position.
Space group R-3m (No. 166, hexagonal axes)
Asymmetric unit:
Sr: 0.0000 0.0000 0.0000 x3  6 As 3.18
In: 0.0000 0.0000 0.5000 x3  6 As 2.86
As: 0.0000 0.0000 0.2376 x6  3 In 2.86, 3 Sr 3.18

(5)
DFT (GGA-PBE) results for an optimized crystal structure of Dy3Cd2Pt3.

Properties
For the energy of formation from the pure elements, the calculation gives -934 meV/atom.

Lattice parameters (Å, degrees): 8.4923 8.4923 5.7609 90.00 90.00 120.00
Closest atoms and distances in Å follow each position.
Space group P6_3/mcm (No. 193)
Asymmetric unit:
Dy: 0.0000 0.2802 0.2500 x6  5 Pt 2.87-2.99
Cd: 0.3333 0.6667 0.0000 x4  2 Cd 2.88, 6 Pt 3.03
Pt: 0.0000 0.3753 0.7500 x6  5 Dy 2.87-2.99, 4 Cd 3.03

(6)
DFT (GGA-PBE) results for an optimized crystal structure of ThAl8Co4.

Properties
For the energy of formation from the pure elements, the calculation gives -484 meV/atom.

Lattice parameters (Å, degrees): 8.6256 8.6256 5.1362 90.00 90.00 90.00
Closest atoms and distances in Å follow each position.
Space group I4/mmm (No. 139)
Asymmetric unit:
Th: 0.0000 0.0000 0.0000 x2  12 Al 2.97-3.22, 8 Co 3.31
Al: 0.0000 0.2244 0.5000 x8  4 Co 2.52, 6 Al 2.73-2.77
Al: 0.0000 0.3447 0.0000 x8  4 Co 2.64, 5 Al 2.68-2.77
Co: 0.2500 0.2500 0.2500 x8  8 Al 2.52-2.64, 2 Co 2.57

(7)
DFT (GGA-PBE) results for an optimized crystal structure of La4AlFe.

Properties
For the energy of formation from the pure elements, the calculation gives -85 meV/atom. For the energy above the most stable polymorph in this dataset, the calculation gives 0 meV per atom.

Lattice parameters (Å, degrees): 9.1207 12.9106 6.1852 90.00 108.00 90.00
Closest atoms and distances in Å follow each position.
Space group C2/c (No. 15)
Asymmetric unit:
La: 0.1136 0.1547 0.0435 x8  2 Fe 2.65-2.77
La: 0.2025 0.4099 0.3895 x8  2 Fe 3.17-3.29, 2 Al 3.26-3.33, 2 La 3.49-3.54
Al: 0.0000 0.3789 0.7500 x4  8 La 3.26-3.40
Fe: 0.0000 0.0033 0.7500 x4  4 La 2.65-2.77

(8)
DFT (GGA-PBE) results for an optimized crystal structure of CaPuGeSb.

Properties
As for the uncorrected formation energy: -0.46 eV/atom.

Lattice parameters (Å, degrees): 7.4459 7.4459 7.4459 90.00 90.00 90.00
Closest atoms and distances in Å follow each position.
Space group F-43m (No. 216)
Asymmetric unit:
Ca: 0.0000 0.0000 0.0000 x4  4 Sb 3.22, 4 Ge 3.22
Pu: 0.0000 0.0000 0.5000 x4  4 Ge 3.22, 4 Sb 3.22
Ge: 0.2500 0.2500 0.2500 x4  4 Ca 3.22, 4 Pu 3.22
Sb: 0.2500 0.2500 0.7500 x4  4 Pu 3.22, 4 Ca 3.22

(9)
DFT (GGA-PBE) results for an optimized crystal structure of RbMoBr5.

Properties
As for the uncorrected formation energy: -0.81 eV/atom.

Lattice parameters (Å, degrees): 14.5918 7.8761 10.1835 90.00 110.98 90.00
Closest atoms and distances in Å follow each position.
Space group C2/c (No. 15)
Asymmetric unit:
Rb: 0.0000 0.0181 0.2500 x4  5 Br 3.40-3.53
Mo: 0.0000 0.5000 0.0000 x4  6 Br 2.53-2.63
Br: 0.0000 0.4141 0.7500 x4  2 Mo 2.63
Br: 0.1294 0.2730 0.5346 x8  1 Mo 2.53
Br: 0.1336 0.2809 0.1013 x8  1 Mo 2.53

(10)
DFT (GGA-PBE) results for an optimized crystal structure of La2ErSb3Pt4.

Properties
As for the uncorrected formation energy: -1.01 eV/atom.

Lattice parameters (Å, degrees): 4.5697 4.5697 11.3579 90.00 90.00 90.00
Closest atoms and distances in Å follow each position.
Space group P-4m2 (No. 115)
Asymmetric unit:
La: 0.0000 0.5000 0.2175 x2  8 Pt 3.36-3.61, 4 Sb 3.38
Er: 0.0000 0.0000 0.5000 x1  4 Pt 2.79
Sb: 0.0000 0.5000 0.8707 x2  5 Pt 2.61-2.72
Sb: 0.5000 0.5000 0.5000 x1  4 Pt 2.79
Pt: 0.0000 0.0000 0.0000 x1  4 Sb 2.72
Pt: 0.0000 0.5000 0.6407 x2  3 Sb 2.61-2.79, 2 Er 2.79
Pt: 0.5000 0.5000 0.0000 x1  4 Sb 2.72

(11)
DFT (GGA-PBE) results for an optimized crystal structure of Li2Ag8Pb.

Properties
For the energy of formation from the pure elements, the calculation gives -46 meV/atom. For the energy above the most stable polymorph in this dataset, the calculation gives 0 meV per atom.

Lattice parameters (Å, degrees): 14.4458 4.3445 6.7764 90.00 109.16 90.00
Closest atoms and distances in Å follow each position.
Space group C2/m (No. 12)
Asymmetric unit:
Li: 0.2252 0.0000 0.1493 x4  10 Ag 2.76-2.98
Ag: 0.0475 0.0000 0.2192 x4  1 Li 2.76, 8 Ag 2.83-3.02
Ag: 0.1000 0.5000 0.9706 x4  3 Li 2.83-2.90, 8 Ag 2.85-3.04, 1 Pb 3.04
Ag: 0.1479 0.0000 0.7153 x4  3 Li 2.78-2.80, 4 Ag 2.81-3.00, 2 Pb 3.06
Ag: 0.1864 0.5000 0.4136 x4  6 Ag 2.81-2.96, 3 Li 2.81-2.98, 1 Pb 2.94
Pb: 0.0000 0.5000 0.5000 x2  12 Ag 2.94-3.11

(12)
DFT (GGA-PBE) results for an optimized crystal structure of La4Hg2IrAu.

Properties
For the energy of formation from the pure elements, the calculation gives -611 meV/atom.

Lattice parameters (Å, degrees): 7.5664 4.1676 8.2892 90.00 105.63 90.00
Closest atoms and distances in Å follow each position.
Space group P2/m (No. 10)
Asymmetric unit:
La: 0.2178 0.0000 0.2058 x2  2 Ir 2.91, 1 Au 3.07
La: 0.2383 0.5000 0.7859 x2  1 Ir 2.85, 2 Au 3.09
Hg: 0.0000 0.0000 0.5000 x1  6 La 3.29-3.30
Hg: 0.5000 0.5000 0.5000 x1  6 La 3.47
Ir: 0.0000 0.5000 0.0000 x1  6 La 2.85-2.91
Au: 0.5000 0.0000 0.0000 x1  6 La 3.07-3.09

(13)
DFT (GGA-PBE) results for an optimized crystal structure of Rb3La2MnS6.

Properties
As for the uncorrected formation energy: -1.45 eV/atom.

Lattice parameters (Å, degrees): 7.3585 12.1808 8.1062 90.00 108.57 90.00
Closest atoms and distances in Å follow each position.
Space group C2/m (No. 12)
Asymmetric unit:
Rb: 0.0000 0.0000 0.0000 x2  6 S 3.28-3.32
Rb: 0.0000 0.3301 0.0000 x4  6 S 3.26-3.62
La: 0.0000 0.1640 0.5000 x4  6 S 2.84-2.98
Mn: 0.0000 0.5000 0.5000 x2  4 S 2.45
S: 0.2040 0.3562 0.6772 x8  1 Mn 2.45
S: 0.2321 0.0000 0.7149 x4  2 La 2.84, 1 Mn 3.02

Number 1: final energy -2.3887 eV/atom. Number 2: final energy -5.8628 eV/atom. Number 3: final energy -3.3899 eV/atom. Number 4: final energy -3.8595 eV/atom. Number 5: final energy -5.1539 eV/atom. Number 6: final energy -5.5445 eV/atom. Number 7: final energy -5.4041 eV/atom. Number 8: final energy -6.7256 eV/atom. Number 9: final energy -3.6935 eV/atom. Number 10: final energy -6.1052 eV/atom. Number 11: final energy -2.8050 eV/atom. Number 12: final energy -4.6679 eV/atom. Number 13: final energy -5.3438 eV/atom.